(1)
! Tb5YEr7, optimized geometry, DFT PBE; values from VASP
! spin magnetization: 0.0 μB/f.u.
! symmetry: Imm2, No. 44
! E above lowest polymorph: 0 meV/atom
! energy: -4.48 eV/atom
! ΔE_f: 0.253 eV per atom
&SYSTEM
  ibrav = 0, nat = 13, ntyp = 3
/
ATOMIC_SPECIES
Er 167.26 Er.upf
Tb 158.93 Tb.upf
Y 88.91 Y.upf
ATOMIC_POSITIONS angstrom
Er 2.458 1.818 2.963
Tb 6.434 -0.014 6.246
Tb 7.251 5.789 9.223
Er 2.172 5.127 3.744
Er 1.304 2.441 6.112
Er 4.161 5.696 7.985
Tb 3.550 -0.014 5.189
Er 5.709 6.441 3.763
Y 6.151 0.265 2.555
Tb 7.616 3.645 3.020
Er 5.035 3.311 5.600
Tb 4.733 3.645 1.963
Er 4.003 1.162 8.418
CELL_PARAMETERS angstrom
6.248 0.000 2.290
2.983 7.952 1.529
0.385 -0.090 8.621


(2)
! HRh2Pb, optimized geometry, DFT PBE; values from VASP
! spin magnetization: 0.0 μB/f.u.
! symmetry: R-3m, No. 166
! E above lowest polymorph: 169 meV/atom
! energy: -5.26 eV/atom
&SYSTEM
  ibrav = 0, nat = 4, ntyp = 3
/
ATOMIC_SPECIES
H 1.01 H.upf
Pb 207.20 Pb.upf
Rh 102.91 Rh.upf
ATOMIC_POSITIONS angstrom
H 0.000 0.000 0.000
Pb -2.382 -4.244 -0.229
Rh -3.734 -6.709 0.043
Rh -1.030 -1.779 -0.500
CELL_PARAMETERS angstrom
-2.436 -0.876 -1.797
0.311 -2.406 -2.011
-2.638 -5.205 3.351


(3)
! SmPuIn4, optimized geometry, DFT PBE; values from VASP
! spin magnetization: 6.4 μB/f.u.
! symmetry: F-43m, No. 216
! E above lowest polymorph: 62 meV/atom
! energy: -5.24 eV/atom
! ΔE_f: -0.241 eV per atom
&SYSTEM
  ibrav = 0, nat = 6, ntyp = 3
/
ATOMIC_SPECIES
In 114.82 In.upf
Pu 244.00 Pu.upf
Sm 150.36 Sm.upf
ATOMIC_POSITIONS angstrom
In 4.539 4.368 3.089
Pu 0.000 0.000 0.000
In 7.566 4.368 3.089
In 6.052 1.747 3.089
Sm 3.026 1.747 1.235
In 6.052 3.494 0.617
CELL_PARAMETERS angstrom
6.052 0.000 0.000
3.026 5.242 0.000
3.026 1.747 4.942


(4)
! VHgAsI6, optimized geometry, DFT PBE; values from VASP
! spin magnetization: 2.0 μB/f.u.
! symmetry: P312, No. 149
! energy: -2.87 eV/atom
! E_form (uncorrected): -0.272 eV per atom
&SYSTEM
  ibrav = 0, nat = 9, ntyp = 4
/
ATOMIC_SPECIES
I 126.90 I.upf
As 74.92 As.upf
V 50.94 V.upf
Hg 200.59 Hg.upf
ATOMIC_POSITIONS angstrom
I 4.975 4.035 3.120
As 3.611 2.085 4.731
V 7.220 4.169 4.732
I 9.467 4.034 6.344
I 6.215 6.181 6.344
I 8.460 2.292 3.120
Hg 7.221 0.000 9.463
I 8.227 6.181 3.120
I 5.982 2.292 6.343
CELL_PARAMETERS angstrom
7.221 0.000 0.000
3.610 6.254 0.000
0.000 0.000 9.463